Record 1
Crystalline Ba2AlCdPd at its relaxed geometry, computed with PBE.

abc: 6.197 6.197 4.840
angles: 90.00 90.00 90.00
Space group P4/mmm (No. 123)
Asymmetric unit:
Ba: 0.000 0.500 0.000 (multiplicity 2)
Al: 0.000 0.000 0.500 (multiplicity 1)
Cd: 0.500 0.500 0.500 (multiplicity 1)
Pd: 0.000 0.000 0.000 (multiplicity 1)

Total magnetization: 0.000 μB per cell
D(E_F): 4.8 states/eV per cell
Final energy: -3.056 eV per atom
Calculated density: 4.649 g/cm3



Record 2
Crystalline BaPrAlCd at its relaxed geometry, computed with PBE.

abc: 8.015 8.015 8.015
angles: 90.00 90.00 90.00
Space group F-43m (No. 216)
Asymmetric unit:
Ba: 0.000 0.000 0.000 (multiplicity 4)
Pr: 0.000 0.000 0.500 (multiplicity 4)
Al: 0.250 0.250 0.750 (multiplicity 4)
Cd: 0.250 0.250 0.250 (multiplicity 4)

Total magnetization: 0.001 μB per cell
D(E_F): 18.2 states/eV per cell
Final energy: -2.989 eV per atom
Calculated density: 5.388 g/cm3



Record 3
Crystalline Ba2AlCdPt at its relaxed geometry, computed with PBE.

abc: 6.227 6.227 4.822
angles: 90.00 90.00 90.00
Space group P4/mmm (No. 123)
Asymmetric unit:
Ba: 0.000 0.500 0.000 (multiplicity 2)
Al: 0.000 0.000 0.500 (multiplicity 1)
Cd: 0.500 0.500 0.500 (multiplicity 1)
Pt: 0.000 0.000 0.000 (multiplicity 1)

Total magnetization: 0.000 μB per cell
D(E_F): 4.1 states/eV per cell
Final energy: -3.364 eV per atom
Calculated density: 5.409 g/cm3



Record 4
Crystalline Ba2Al12CdPt3 at its relaxed geometry, computed with PBE.

abc: 9.4245 9.4245 18.2405
angles: 90.00 90.00 120.00
Space group R-3m (No. 166, hexagonal axes)
Asymmetric unit:
Ba: 0.0000 0.0000 0.1025 (multiplicity 6)
Al: 0.0110 0.5055 0.1353 (multiplicity 18)
Al: 0.1046 0.5523 0.2957 (multiplicity 18)
Cd: 0.0000 0.0000 0.5000 (multiplicity 3)
Pt: 0.0000 0.5000 0.0000 (multiplicity 9)

Total magnetization: 0.000 μB per cell
D(E_F): 27.3 states/eV per cell
Final energy: -3.903 eV per atom
Calculated density: 4.602 g/cm3



Record 5
Crystalline BaAl2CdRh at its relaxed geometry, computed with PBE.

abc: 4.828 4.828 5.289
angles: 90.00 90.00 90.00
Space group P4/mmm (No. 123)
Asymmetric unit:
Ba: 0.000 0.000 0.000 (multiplicity 1)
Al: 0.000 0.500 0.500 (multiplicity 2)
Cd: 0.500 0.500 0.000 (multiplicity 1)
Rh: 0.500 0.500 0.500 (multiplicity 1)

Total magnetization: 0.001 μB per cell
D(E_F): 3.9 states/eV per cell
Final energy: -3.959 eV per atom
Calculated density: 5.476 g/cm3



Record 6
Crystalline BaAlCdRu2 at its relaxed geometry, computed with PBE.

abc: 5.101 5.101 6.079
angles: 90.00 90.00 90.00
Space group P4/mmm (No. 123)
Asymmetric unit:
Ba: 0.000 0.000 0.000 (multiplicity 1)
Al: 0.500 0.500 0.500 (multiplicity 1)
Cd: 0.000 0.000 0.500 (multiplicity 1)
Ru: 0.000 0.500 0.000 (multiplicity 2)

Total magnetization: 2.101 μB per cell
D(E_F): 9.6 states/eV per cell
Final energy: -2.930 eV per atom
Calculated density: 5.027 g/cm3



no.,formation energy from the elements (eV per atom)
1,-0.3163
2,-0.1488
3,-0.4551
4,-0.1368
5,-0.4244
6,2.0964